DFT (PBE-GGA) results for a relaxed structure of RbThAsO5.

abc: 6.416 6.416 8.303
angles: 104.77 104.77 105.81
Fractional positions:
Rb  0.167  0.833  0.750
Rb  0.833  0.167  0.250
Th  0.500  0.500  0.000
Th  0.500  0.500  0.500
As  0.185  0.815  0.250
As  0.815  0.185  0.750
O  0.096  0.264  0.889
O  0.202  0.636  0.374
O  0.264  0.096  0.389
O  0.364  0.798  0.126
O  0.435  0.565  0.750
O  0.565  0.435  0.250
O  0.636  0.202  0.874
O  0.736  0.904  0.611
O  0.798  0.364  0.626
O  0.904  0.736  0.111

Output
Formation energy (no corrections), eV per atom: -2.37
Symmetry: C2/c (15)
DOS(E_F), states/eV/f.u.: 0.000